[1]
This record from the Alexandria database describes an optimized crystal structure of CaPmCuSb. The functional is PBE.

Output
- Energy: -16.925 eV/cell
- Formation energy from raw total energies: -0.4885 eV/atom
- Spin magnetization: 0.0001 μB per atom

abc: 5.257 5.257 5.257
angles: 60.00 60.00 60.00
Sites, in units of the cell vectors:
Sb 0.250 0.250 0.250
Ca 0.500 0.500 0.500
Pm 0.000 0.000 0.000
Cu 0.750 0.750 0.750

[2]
This record from the Alexandria database describes an optimized crystal structure of Ca2PmCuSe4. The functional is PBE.

Output
- Energy: -38.755 eV/cell
- Formation energy from raw total energies: -1.4959 eV/atom
- Spin magnetization: 0.0000 μB per atom

abc: 4.152 7.137 7.243
angles: 110.68 90.00 90.00
Sites, in units of the cell vectors:
Se 0.500 0.770 0.772
Pm 0.500 0.500 0.000
Cu 0.000 0.000 0.000
Ca 0.500 0.000 0.500
Se 0.500 0.230 0.228
Se 0.000 0.252 0.748
Se 0.000 0.748 0.252
Ca 0.000 0.500 0.500

[3]
This record from the Alexandria database describes an optimized crystal structure of CaPmCuSe3. The functional is PBE.

Output
- Energy: -60.457 eV/cell
- Formation energy from raw total energies: -1.4877 eV/atom
- Spin magnetization: 0.0000 μB per atom

abc: 4.051 8.412 9.090
angles: 101.57 90.00 90.00
Sites, in units of the cell vectors:
Se 0.250 0.775 0.498
Se 0.250 0.086 0.858
Se 0.750 0.914 0.142
Ca 0.250 0.182 0.242
Cu 0.250 0.081 0.581
Pm 0.250 0.674 0.175
Se 0.750 0.418 0.163
Cu 0.750 0.919 0.419
Se 0.250 0.582 0.837
Ca 0.750 0.818 0.758
Pm 0.750 0.326 0.825
Se 0.750 0.225 0.502

[4]
This record from the Alexandria database describes an optimized crystal structure of Ca3Pm3CuSe8. The functional is PBE.

Output
- Energy: -76.866 eV/cell
- Formation energy from raw total energies: -1.6425 eV/atom
- Spin magnetization: 0.0000 μB per atom

abc: 8.325 8.321 8.374
angles: 119.80 90.00 120.01
Sites, in units of the cell vectors:
Se 0.762 0.523 0.265
Ca 0.000 0.000 0.000
Ca 0.000 0.500 0.000
Se 0.243 0.003 0.264
Pm 0.000 0.500 0.500
Se 0.250 0.499 0.249
Pm 0.500 0.500 0.500
Pm 0.500 0.000 0.500
Se 0.750 0.501 0.751
Cu 0.000 0.000 0.500
Se 0.240 0.997 0.736
Se 0.238 0.477 0.735
Ca 0.500 0.500 0.000
Se 0.757 0.997 0.736
Se 0.760 0.003 0.264

[5]
This record from the Alexandria database describes an optimized crystal structure of Ca2PmCu2Se4. The functional is PBE.

Output
- Energy: -41.915 eV/cell
- Formation energy from raw total energies: -1.2256 eV/atom
- Spin magnetization: 0.0000 μB per atom

abc: 3.958 7.454 7.676
angles: 110.47 104.94 90.00
Sites, in units of the cell vectors:
Se 0.210 0.235 0.420
Cu 0.311 0.991 0.621
Se 0.469 0.263 0.939
Ca 0.866 0.420 0.733
Se 0.531 0.737 0.061
Se 0.790 0.765 0.580
Ca 0.134 0.580 0.267
Pm 0.000 0.000 0.000
Cu 0.689 0.009 0.379

[6]
This record from the Alexandria database describes an optimized crystal structure of CaPm2Cu2Si2. The functional is PBE.

Output
- Energy: -33.503 eV/cell
- Formation energy from raw total energies: -0.4231 eV/atom
- Spin magnetization: 0.0000 μB per atom

abc: 4.261 4.261 10.213
angles: 77.96 77.96 60.00
Sites, in units of the cell vectors:
Cu 0.399 0.399 0.804
Ca 0.000 0.000 0.000
Pm 0.877 0.877 0.370
Pm 0.123 0.123 0.630
Cu 0.601 0.601 0.196
Si 0.264 0.264 0.208
Si 0.736 0.736 0.792

[7]
This record from the Alexandria database describes an optimized crystal structure of CaPmCuSi. The functional is PBE.

Output
- Energy: -17.668 eV/cell
- Formation energy from raw total energies: -0.3492 eV/atom
- Spin magnetization: 0.0000 μB per atom

abc: 5.053 5.053 5.053
angles: 60.00 60.00 60.00
Sites, in units of the cell vectors:
Cu 0.750 0.750 0.750
Ca 0.500 0.500 0.500
Pm 0.000 0.000 0.000
Si 0.250 0.250 0.250

[8]
This record from the Alexandria database describes an optimized crystal structure of CaPmCu2Sn2. The functional is PBE.

Output
- Formation energy: -3.06 eV per formula unit
- Energy: -26.009 eV/cell
- Spin magnetization: 0.0000 μB per atom

abc: 4.582 4.582 7.683
angles: 90.00 90.00 120.00
Sites, in units of the cell vectors:
Ca 0.000 0.000 0.000
Cu 0.667 0.333 0.252
Cu 0.333 0.667 0.748
Pm 0.000 0.000 0.500
Sn 0.667 0.333 0.743
Sn 0.333 0.667 0.257

[9]
This record from the Alexandria database describes an optimized crystal structure of CaPmTlCu. The functional is PBE.

Output
- Formation energy: -0.96 eV per formula unit
- Energy: -14.174 eV/cell
- Spin magnetization: 0.0000 μB per atom

abc: 5.285 5.285 5.285
angles: 60.00 60.00 60.00
Sites, in units of the cell vectors:
Ca 0.750 0.750 0.750
Tl 0.500 0.500 0.500
Pm 0.250 0.250 0.250
Cu 0.000 0.000 0.000

[10]
This record from the Alexandria database describes an optimized crystal structure of CaPmZnCu. The functional is PBE.

Output
- Formation energy: -0.79 eV per formula unit
- Energy: -12.915 eV/cell
- Spin magnetization: 0.0000 μB per atom

abc: 3.633 3.633 7.208
angles: 90.00 90.00 90.00
Sites, in units of the cell vectors:
Ca 0.500 0.500 0.103
Cu 0.000 0.000 0.840
Zn 0.000 0.000 0.369
Pm 0.500 0.500 0.617

[11]
This record from the Alexandria database describes an optimized crystal structure of CaPmZnCu. The functional is PBE.

Output
- Formation energy: -0.79 eV per formula unit
- Energy: -12.909 eV/cell
- Spin magnetization: 0.0000 μB per atom

abc: 5.099 5.099 5.099
angles: 60.00 60.00 60.00
Sites, in units of the cell vectors:
Pm 0.000 0.000 0.000
Ca 0.500 0.500 0.500
Zn 0.750 0.750 0.750
Cu 0.250 0.250 0.250

[12]
This record from the Alexandria database describes an optimized crystal structure of Ca2PrCu6. The functional is PBE.

Output
- Formation energy: -1.21 eV per formula unit
- Energy: -34.573 eV/cell
- Spin magnetization: 0.0000 μB per atom

abc: 3.835 7.374 7.374
angles: 120.00 90.00 90.00
Sites, in units of the cell vectors:
Ca 0.000 0.667 0.333
Cu 0.500 0.666 0.666
Pr 0.000 0.000 0.000
Ca 0.000 0.333 0.667
Cu 0.500 0.666 0.000
Cu 0.500 0.000 0.666
Cu 0.500 0.334 0.334
Cu 0.500 0.000 0.334
Cu 0.500 0.334 0.000

[13]
This record from the Alexandria database describes an optimized crystal structure of CaPr2Cu6. The functional is PBE.

Output
- Formation energy: -1.54 eV per formula unit
- Energy: -37.680 eV/cell
- Spin magnetization: 0.0000 μB per atom

abc: 3.836 7.403 7.403
angles: 120.00 90.00 90.00
Sites, in units of the cell vectors:
Cu 0.500 0.667 0.667
Cu 0.500 0.333 0.333
Pr 0.000 0.667 0.333
Ca 0.000 0.000 0.000
Cu 0.500 0.000 0.333
Cu 0.500 0.667 0.000
Pr 0.000 0.333 0.667
Cu 0.500 0.000 0.667
Cu 0.500 0.333 0.000

[14]
This record from the Alexandria database describes an optimized crystal structure of CaPrCu2. The functional is PBE.

Output
- Formation energy: -0.42 eV per formula unit
- Energy: -15.398 eV/cell
- Spin magnetization: 0.0000 μB per atom

abc: 3.602 3.602 7.205
angles: 90.00 90.00 90.00
Sites, in units of the cell vectors:
Cu 0.000 0.000 0.767
Cu 0.000 0.000 0.233
Pr 0.500 0.500 0.000
Ca 0.500 0.500 0.500

[15]
This record from the Alexandria database describes an optimized crystal structure of Ca2PrCu9. The functional is PBE.

Output
- Formation energy: -1.59 eV per formula unit
- Energy: -47.237 eV/cell
- Spin magnetization: 0.0000 μB per atom

abc: 5.237 5.237 8.911
angles: 72.91 72.91 60.00
Sites, in units of the cell vectors:
Cu 0.421 0.421 0.244
Cu 0.421 0.914 0.244
Ca 0.143 0.143 0.570
Cu 0.086 0.579 0.756
Cu 0.579 0.579 0.756
Cu 0.332 0.332 0.005
Cu 0.668 0.668 0.995
Cu 0.914 0.421 0.244
Cu 0.579 0.086 0.756
Pr 0.000 0.000 0.000
Ca 0.857 0.857 0.430
Cu 0.500 0.500 0.500

[16]
This record from the Alexandria database describes an optimized crystal structure of CaPrCu4. The functional is PBE.

Output
- Formation energy: -0.51 eV per formula unit
- Energy: -23.674 eV/cell
- Spin magnetization: 0.0000 μB per atom

abc: 5.356 5.356 5.356
angles: 60.00 60.00 60.00
Sites, in units of the cell vectors:
Cu 0.623 0.623 0.131
Cu 0.131 0.623 0.623
Cu 0.623 0.131 0.623
Pr 0.000 0.000 0.000
Ca 0.250 0.250 0.250
Cu 0.623 0.623 0.623

[17]
This record from the Alexandria database describes an optimized crystal structure of CaPr3Cu4. The functional is PBE.

Output
- Formation energy: -0.95 eV per formula unit
- Energy: -67.351 eV/cell
- Spin magnetization: 0.0000 μB per atom

abc: 5.109 7.188 10.204
angles: 90.00 90.00 90.00
Sites, in units of the cell vectors:
Ca 0.000 0.500 0.000
Pr 0.500 0.000 0.750
Cu 0.000 0.245 0.250
Cu 0.500 0.755 0.000
Ca 0.000 0.500 0.500
Cu 0.500 0.755 0.500
Pr 0.000 0.000 0.000
Cu 0.000 0.755 0.750
Pr 0.500 0.000 0.250
Pr 0.500 0.500 0.750
Pr 0.500 0.500 0.250
Cu 0.500 0.245 0.000
Pr 0.000 0.000 0.500
Cu 0.500 0.245 0.500
Cu 0.000 0.245 0.750
Cu 0.000 0.755 0.250

[18]
This record from the Alexandria database describes an optimized crystal structure of CaPrCu. The functional is PBE.

Output
- Formation energy: -0.29 eV per formula unit
- Energy: -22.330 eV/cell
- Spin magnetization: 0.0000 μB per atom

abc: 4.559 3.882 10.336
angles: 100.96 90.00 90.00
Sites, in units of the cell vectors:
Pr 0.250 0.924 0.850
Cu 0.250 0.536 0.071
Ca 0.750 0.308 0.616
Pr 0.750 0.076 0.150
Ca 0.250 0.692 0.384
Cu 0.750 0.464 0.929

[19]
This record from the Alexandria database describes an optimized crystal structure of CaPr2Cu. The functional is PBE.

Output
- Formation energy: 0.36 eV per formula unit
- Energy: -15.300 eV/cell
- Spin magnetization: 0.0000 μB per atom

abc: 3.803 3.803 10.713
angles: 79.78 79.78 60.00
Sites, in units of the cell vectors:
Cu 0.667 0.667 0.000
Ca 0.499 0.499 0.502
Pr 0.270 0.270 0.190
Pr 0.064 0.064 0.809

[20]
This record from the Alexandria database describes an optimized crystal structure of CaPr2Cu. The functional is PBE.

Output
- Formation energy: -0.04 eV per formula unit
- Energy: -15.693 eV/cell
- Spin magnetization: 0.0000 μB per atom

abc: 3.713 3.713 9.136
angles: 90.00 90.00 90.00
Sites, in units of the cell vectors:
Cu 0.500 0.500 0.000
Pr 0.000 0.000 0.182
Pr 0.000 0.000 0.818
Ca 0.500 0.500 0.500